(1)
VASP calculation (PBE) on a relaxed Pr3TmIn4 crystal. Values from VASP.

Properties
The space group is No. 65. The calculation puts the density at 7.21 g/cm³. The calculation puts the formation energy at -0.41 eV per atom.

Quantum ESPRESSO input file:
```
&SYSTEM
  ibrav = 0, nat = 8, ntyp = 3
/
ATOMIC_SPECIES
Pr 140.91 Pr.upf
Tm 168.93 Tm.upf
In 114.82 In.upf
ATOMIC_POSITIONS angstrom
Pr 0.000 0.000 0.000
Pr 3.864 3.294 0.000
Pr 3.864 -3.294 0.000
Tm 3.864 0.000 1.993
In 1.533 2.165 1.993
In 1.533 -2.165 1.993
In 6.196 2.165 1.993
In 6.196 -2.165 1.993
CELL_PARAMETERS angstrom
3.864 -7.856 0.000
3.864 7.856 0.000
0.000 0.000 3.985
```

(2)
VASP calculation (PBE) on a relaxed PrTm12In3 crystal. Values from VASP.

Properties
The space group is No. 123. The calculation puts the density at 9.19 g/cm³. The calculation puts the formation energy at -0.18 eV per atom.

Quantum ESPRESSO input file:
```
&SYSTEM
  ibrav = 0, nat = 16, ntyp = 3
/
ATOMIC_SPECIES
Pr 140.91 Pr.upf
Tm 168.93 Tm.upf
In 114.82 In.upf
ATOMIC_POSITIONS angstrom
Pr 0.000 0.000 0.000
Tm 0.000 2.406 2.604
Tm 0.000 2.406 7.408
Tm 0.000 2.406 12.187
Tm 0.000 2.406 16.991
Tm 2.406 0.000 2.604
Tm 2.406 0.000 7.408
Tm 2.406 0.000 12.187
Tm 2.406 0.000 16.991
Tm 2.406 2.406 0.000
Tm 2.406 2.406 5.035
Tm 2.406 2.406 9.798
Tm 2.406 2.406 14.560
In 0.000 0.000 5.040
In 0.000 0.000 9.798
In 0.000 0.000 14.555
CELL_PARAMETERS angstrom
4.813 0.000 0.000
0.000 4.813 0.000
0.000 0.000 19.595
```

(3)
VASP calculation (PBE) on a relaxed Pr3Tm2In4 crystal. Values from VASP.

Properties
The space group is No. 12. The calculation puts the density at 7.62 g/cm³. The calculation puts the formation energy at -0.38 eV per atom.

Quantum ESPRESSO input file:
```
&SYSTEM
  ibrav = 0, nat = 9, ntyp = 3
/
ATOMIC_SPECIES
Pr 140.91 Pr.upf
Tm 168.93 Tm.upf
In 114.82 In.upf
ATOMIC_POSITIONS angstrom
Pr 0.000 0.000 0.000
Pr 2.688 0.000 2.746
Pr 4.352 0.000 5.929
Tm 0.814 0.000 5.965
Tm 6.226 0.000 2.710
In -1.286 0.000 3.435
In -1.224 0.000 8.339
In 8.264 0.000 0.336
In 8.326 0.000 5.240
CELL_PARAMETERS angstrom
6.043 -2.535 0.000
6.043 2.535 0.000
-5.045 0.000 8.675
```

(4)
VASP calculation (PBE) on a relaxed Pr2Tm3In3 crystal. Values from VASP.

Properties
The space group is No. 47. The calculation puts the density at 8.31 g/cm³. The calculation puts the formation energy at -0.34 eV per atom.

Quantum ESPRESSO input file:
```
&SYSTEM
  ibrav = 0, nat = 8, ntyp = 3
/
ATOMIC_SPECIES
Pr 140.91 Pr.upf
Tm 168.93 Tm.upf
In 114.82 In.upf
ATOMIC_POSITIONS angstrom
Pr 0.000 0.000 2.267
Pr 0.000 0.000 6.994
Tm 2.452 0.000 4.630
Tm 2.452 2.493 2.129
Tm 2.452 2.493 7.132
In 0.000 2.493 0.000
In 0.000 2.493 4.630
In 2.452 0.000 0.000
CELL_PARAMETERS angstrom
4.904 0.000 0.000
0.000 4.987 0.000
0.000 0.000 9.261
```

(5)
VASP calculation (PBE) on a relaxed Pr4Tm2In crystal. Values from VASP.

Properties
The space group is No. 2. The calculation puts the density at 7.51 g/cm³. The calculation puts the formation energy at -0.10 eV per atom.

Quantum ESPRESSO input file:
```
&SYSTEM
  ibrav = 0, nat = 14, ntyp = 3
/
ATOMIC_SPECIES
Pr 140.91 Pr.upf
Tm 168.93 Tm.upf
In 114.82 In.upf
ATOMIC_POSITIONS angstrom
Pr 1.124 2.116 0.594
Pr 2.525 6.051 5.410
Pr 3.238 6.621 1.974
Pr 2.611 2.920 6.668
Pr 6.231 4.914 2.836
Pr 5.603 1.213 7.530
Pr 6.316 1.783 4.093
Pr 7.717 5.718 8.910
Tm 4.736 7.211 8.052
Tm 3.307 0.056 4.752
Tm 4.174 3.861 0.000
Tm 4.106 0.623 1.451
In 3.209 3.236 3.267
In 5.633 4.598 6.237
CELL_PARAMETERS angstrom
6.122 0.000 0.000
2.226 7.721 0.000
0.493 0.113 9.503
```

(6)
VASP calculation (PBE) on a relaxed Pr3Tm4In crystal. Values from VASP.

Properties
The space group is No. 31. The calculation puts the density at 8.08 g/cm³. The calculation puts the formation energy at -0.11 eV per atom.

Quantum ESPRESSO input file:
```
&SYSTEM
  ibrav = 0, nat = 16, ntyp = 3
/
ATOMIC_SPECIES
Pr 140.91 Pr.upf
Tm 168.93 Tm.upf
In 114.82 In.upf
ATOMIC_POSITIONS angstrom
Pr 0.000 0.909 0.000
Pr 2.664 0.833 2.185
Pr 2.975 6.276 5.297
Pr 5.639 6.200 3.111
Pr 8.303 6.276 5.297
Pr 8.614 0.833 2.185
Tm 0.000 2.738 3.374
Tm 0.000 4.452 0.161
Tm 2.714 4.415 2.260
Tm 2.925 2.693 5.372
Tm 5.639 2.657 3.273
Tm 5.639 4.371 0.263
Tm 8.353 2.693 5.372
Tm 8.564 4.415 2.260
In 0.000 6.065 3.295
In 5.639 1.044 0.184
CELL_PARAMETERS angstrom
11.278 0.000 0.000
0.000 7.108 0.000
0.000 0.000 6.223
```

Question: Which of these has the lowest density?
Answer: Pr3TmIn4

What did the fifth record say?
VASP calculation (PBE) on a relaxed Pr4Tm2In crystal. Values from VASP.

Properties
The space group is No. 2. The calculation puts the density at 7.51 g/cm³. The calculation puts the formation energy at -0.10 eV per atom.

Quantum ESPRESSO input file:
```
&SYSTEM
  ibrav = 0, nat = 14, ntyp = 3
/
ATOMIC_SPECIES
Pr 140.91 Pr.upf
Tm 168.93 Tm.upf
In 114.82 In.upf
ATOMIC_POSITIONS angstrom
Pr 1.124 2.116 0.594
Pr 2.525 6.051 5.410
Pr 3.238 6.621 1.974
Pr 2.611 2.920 6.668
Pr 6.231 4.914 2.836
Pr 5.603 1.213 7.530
Pr 6.316 1.783 4.093
Pr 7.717 5.718 8.910
Tm 4.736 7.211 8.052
Tm 3.307 0.056 4.752
Tm 4.174 3.861 0.000
Tm 4.106 0.623 1.451
In 3.209 3.236 3.267
In 5.633 4.598 6.237
CELL_PARAMETERS angstrom
6.122 0.000 0.000
2.226 7.721 0.000
0.493 0.113 9.503
```